Material: Pm2HgPd3Au12
Method: DFT, GGA-PBE
State: relaxed

Cell lengths 7.181, 7.181, 7.181 Å; angles 82.63, 82.63, 82.63 degrees
Atoms (fractional coordinates):
Pm 0.238 0.238 0.238
Pm 0.762 0.762 0.762
Hg 0.500 0.500 0.500
Pd 0.000 0.500 0.500
Pd 0.500 0.000 0.500
Pd 0.500 0.500 0.000
Au 0.086 0.086 0.632
Au 0.086 0.632 0.086
Au 0.200 0.701 0.701
Au 0.299 0.299 0.800
Au 0.299 0.800 0.299
Au 0.368 0.914 0.914
Au 0.632 0.086 0.086
Au 0.701 0.200 0.701
Au 0.701 0.701 0.200
Au 0.800 0.299 0.299
Au 0.914 0.368 0.914
Au 0.914 0.914 0.368

Properties
N(E_F)	0.3158	states/eV per atom
symmetry	R-3m
E	-3.83	eV per atom

=====

Material: ZrGaP
Method: DFT, GGA-PBE
State: relaxed

Cell lengths 3.760, 3.760, 7.640 Å; angles 90.00, 90.00, 90.00 degrees
Atoms (fractional coordinates):
Zr 0.250 0.250 0.181
Zr 0.750 0.750 0.819
Ga 0.250 0.750 0.500
Ga 0.750 0.250 0.500
P 0.250 0.250 0.834
P 0.750 0.750 0.166

Properties
N(E_F)	0.4219	states/eV per atom
distance to the lowest polymorph of the same formula	0.0	meV per atom
symmetry	P4/nmm
E	-6.42	eV per atom

=====

Material: Rb2LiPrCl6
Method: DFT, GGA-PBE
State: relaxed

Cell lengths 7.551, 7.551, 7.551 Å; angles 60.00, 60.00, 60.00 degrees
Atoms (fractional coordinates):
Rb 0.250 0.250 0.250
Rb 0.750 0.750 0.750
Li 0.000 0.000 0.000
Pr 0.500 0.500 0.500
Cl 0.243 0.243 0.757
Cl 0.243 0.757 0.243
Cl 0.243 0.757 0.757
Cl 0.757 0.243 0.243
Cl 0.757 0.243 0.757
Cl 0.757 0.757 0.243

Properties
N(E_F)	0.0000	states/eV per atom
ΔE_f (raw)	-2067	meV per atom
symmetry	Fm-3m
E	-4.04	eV per atom

=====

Material: KNaAgBi
Method: DFT, GGA-PBE
State: relaxed

Cell lengths 7.624, 7.624, 7.624 Å; angles 90.00, 90.00, 90.00 degrees
Atoms (fractional coordinates):
K 0.000 0.000 0.000
K 0.000 0.500 0.500
K 0.500 0.000 0.500
K 0.500 0.500 0.000
Na 0.250 0.250 0.250
Na 0.250 0.750 0.750
Na 0.750 0.250 0.750
Na 0.750 0.750 0.250
Ag 0.250 0.250 0.750
Ag 0.250 0.750 0.250
Ag 0.750 0.250 0.250
Ag 0.750 0.750 0.750
Bi 0.000 0.000 0.500
Bi 0.000 0.500 0.000
Bi 0.500 0.000 0.000
Bi 0.500 0.500 0.500

Properties
N(E_F)	0.0302	states/eV per atom
symmetry	F-43m
E	-2.49	eV per atom

=====

Material: Cd5Ga3Sn12
Method: DFT, GGA-PBE
State: relaxed

Cell lengths 14.765, 14.765, 14.765 Å; angles 109.47, 109.47, 109.47 degrees
Atoms (fractional coordinates):
Cd 0.000 0.000 0.000
Cd 0.000 0.000 0.500
Cd 0.000 0.500 0.000
Cd 0.000 0.500 0.500
Cd 0.125 0.750 0.875
Cd 0.125 0.875 0.250
Cd 0.250 0.125 0.875
Cd 0.250 0.625 0.375
Cd 0.375 0.250 0.625
Cd 0.375 0.625 0.750
Cd 0.500 0.000 0.000
Cd 0.500 0.000 0.500
Cd 0.500 0.500 0.000
Cd 0.500 0.500 0.500
Cd 0.625 0.375 0.250
Cd 0.625 0.750 0.375
Cd 0.750 0.375 0.625
Cd 0.750 0.875 0.125
Cd 0.875 0.125 0.750
Cd 0.875 0.250 0.125
Ga 0.125 0.250 0.375
Ga 0.125 0.375 0.750
Ga 0.250 0.375 0.125
Ga 0.250 0.875 0.625
Ga 0.375 0.125 0.250
Ga 0.375 0.750 0.125
Ga 0.625 0.250 0.875
Ga 0.625 0.875 0.750
Ga 0.750 0.125 0.375
Ga 0.750 0.625 0.875
Ga 0.875 0.625 0.250
Ga 0.875 0.750 0.625
Sn 0.067 0.637 0.403
Sn 0.067 0.930 0.664
Sn 0.070 0.234 0.137
Sn 0.070 0.336 0.933
Sn 0.097 0.734 0.664
Sn 0.097 0.863 0.433
Sn 0.137 0.070 0.234
Sn 0.137 0.567 0.903
Sn 0.164 0.234 0.597
Sn 0.164 0.430 0.567
Sn 0.234 0.137 0.070
Sn 0.234 0.597 0.164
Sn 0.266 0.336 0.903
Sn 0.266 0.430 0.363
Sn 0.336 0.903 0.266
Sn 0.336 0.933 0.070
Sn 0.363 0.266 0.430
Sn 0.363 0.597 0.933
Sn 0.403 0.067 0.637
Sn 0.403 0.836 0.766
Sn 0.430 0.363 0.266
Sn 0.430 0.567 0.164
Sn 0.433 0.097 0.863
Sn 0.433 0.836 0.570
Sn 0.567 0.164 0.430
Sn 0.567 0.903 0.137
Sn 0.570 0.433 0.836
Sn 0.570 0.637 0.734
Sn 0.597 0.164 0.234
Sn 0.597 0.933 0.363
Sn 0.637 0.403 0.067
Sn 0.637 0.734 0.570
Sn 0.664 0.067 0.930
Sn 0.664 0.097 0.734
Sn 0.734 0.570 0.637
Sn 0.734 0.664 0.097
Sn 0.766 0.403 0.836
Sn 0.766 0.863 0.930
Sn 0.836 0.570 0.433
Sn 0.836 0.766 0.403
Sn 0.863 0.433 0.097
Sn 0.863 0.930 0.766
Sn 0.903 0.137 0.567
Sn 0.903 0.266 0.336
Sn 0.930 0.664 0.067
Sn 0.930 0.766 0.863
Sn 0.933 0.070 0.336
Sn 0.933 0.363 0.597

Properties
N(E_F)	0.3668	states/eV per atom
symmetry	Ia-3d
E	-2.92	eV per atom

=====

Material: RhPbN2
Method: DFT, GGA-PBE
State: relaxed

Cell lengths 3.455, 3.455, 19.015 Å; angles 90.00, 90.00, 120.00 degrees
Atoms (fractional coordinates):
Rh 0.000 0.000 0.000
Rh 0.333 0.667 0.667
Rh 0.667 0.333 0.333
Pb 0.000 0.000 0.500
Pb 0.333 0.667 0.167
Pb 0.667 0.333 0.833
N 0.000 0.000 0.098
N 0.000 0.000 0.902
N 0.333 0.667 0.569
N 0.333 0.667 0.764
N 0.667 0.333 0.236
N 0.667 0.333 0.431

Properties
N(E_F)	0.6308	states/eV per atom
ΔE_f (raw)	1007	meV per atom
symmetry	R-3m
E	-5.92	eV per atom

=====

Material: BaCr2Cu
Method: DFT, GGA-PBE
State: relaxed

Cell lengths 5.938, 8.165, 4.425 Å; angles 90.00, 90.00, 90.00 degrees
Atoms (fractional coordinates):
Ba 0.000 0.000 0.000
Ba 0.500 0.500 0.000
Cr 0.000 0.328 0.500
Cr 0.000 0.672 0.500
Cr 0.500 0.172 0.500
Cr 0.500 0.828 0.500
Cu 0.000 0.500 0.000
Cu 0.500 0.000 0.000

Properties
N(E_F)	0.8330	states/eV per atom
distance to the lowest polymorph of the same formula	333.1	meV per atom
symmetry	Cmmm
E	-5.41	eV per atom

=====

Material: ZrVCo5
Method: DFT, GGA-PBE
State: relaxed

Cell lengths 7.736, 4.691, 9.684 Å; angles 90.00, 90.00, 90.00 degrees
Atoms (fractional coordinates):
Zr 0.249 0.250 0.058
Zr 0.251 0.750 0.558
Zr 0.749 0.250 0.442
Zr 0.751 0.750 0.942
V 0.133 0.250 0.355
V 0.367 0.750 0.855
V 0.633 0.250 0.145
V 0.867 0.750 0.645
Co 0.052 0.250 0.582
Co 0.067 0.507 0.806
Co 0.067 0.993 0.806
Co 0.098 0.750 0.019
Co 0.188 0.750 0.253
Co 0.312 0.250 0.753
Co 0.402 0.250 0.519
Co 0.433 0.007 0.306
Co 0.433 0.493 0.306
Co 0.448 0.750 0.082
Co 0.552 0.250 0.918
Co 0.567 0.507 0.694
Co 0.567 0.993 0.694
Co 0.598 0.750 0.481
Co 0.688 0.750 0.247
Co 0.812 0.250 0.747
Co 0.902 0.250 0.981
Co 0.933 0.007 0.194
Co 0.933 0.493 0.194
Co 0.948 0.750 0.418

Properties
N(E_F)	1.3305	states/eV per atom
symmetry	Pnma
E	-7.80	eV per atom

=====

Material: AcRu2
Method: DFT, GGA-PBE
State: relaxed

Cell lengths 5.563, 5.563, 5.563 Å; angles 60.00, 60.00, 60.00 degrees
Atoms (fractional coordinates):
Ac 0.125 0.125 0.125
Ac 0.875 0.875 0.875
Ru 0.000 0.500 0.500
Ru 0.500 0.000 0.500
Ru 0.500 0.500 0.000
Ru 0.500 0.500 0.500

Properties
N(E_F)	2.0247	states/eV per atom
symmetry	Fd-3m
E	-7.50	eV per atom

=====

Material: CsPaZn2O6
Method: DFT, GGA-PBE
State: relaxed

Cell lengths 7.606, 7.606, 5.975 Å; angles 94.69, 94.69, 98.77 degrees
Atoms (fractional coordinates):
Cs 0.084 0.916 0.750
Cs 0.916 0.084 0.250
Pa 0.300 0.700 0.250
Pa 0.700 0.300 0.750
Zn 0.227 0.375 0.843
Zn 0.375 0.227 0.343
Zn 0.625 0.773 0.657
Zn 0.773 0.625 0.157
O 0.027 0.692 0.251
O 0.268 0.406 0.187
O 0.291 0.646 0.854
O 0.308 0.973 0.249
O 0.354 0.709 0.646
O 0.406 0.268 0.687
O 0.594 0.732 0.313
O 0.646 0.291 0.354
O 0.692 0.027 0.751
O 0.709 0.354 0.146
O 0.732 0.594 0.813
O 0.973 0.308 0.749

Properties
N(E_F)	0.0000	states/eV per atom
ΔE_f (raw)	-1923	meV per atom
symmetry	C2/c
E	-6.19	eV per atom

=====

Material: Ce2ZnCd5
Method: DFT, GGA-PBE
State: relaxed

Cell lengths 9.017, 9.017, 9.817 Å; angles 90.00, 90.00, 149.81 degrees
Atoms (fractional coordinates):
Ce 0.000 0.000 0.000
Ce 0.000 0.000 0.500
Ce 0.195 0.805 0.750
Ce 0.805 0.195 0.250
Zn 0.448 0.552 0.250
Zn 0.552 0.448 0.750
Cd 0.192 0.808 0.104
Cd 0.192 0.808 0.396
Cd 0.358 0.642 0.033
Cd 0.358 0.642 0.467
Cd 0.401 0.599 0.750
Cd 0.599 0.401 0.250
Cd 0.642 0.358 0.533
Cd 0.642 0.358 0.967
Cd 0.808 0.192 0.604
Cd 0.808 0.192 0.896

Properties
N(E_F)	2.1633	states/eV per atom
symmetry	Cmcm
E	-2.36	eV per atom

=====

Material: InHg2Ir2
Method: DFT, GGA-PBE
State: relaxed

Cell lengths 6.816, 6.816, 4.253 Å; angles 90.00, 90.00, 90.00 degrees
Atoms (fractional coordinates):
In 0.000 0.000 0.000
In 0.500 0.500 0.000
Hg 0.168 0.332 0.500
Hg 0.332 0.832 0.500
Hg 0.668 0.168 0.500
Hg 0.832 0.668 0.500
Ir 0.133 0.633 0.000
Ir 0.367 0.133 0.000
Ir 0.633 0.867 0.000
Ir 0.867 0.367 0.000

Properties
N(E_F)	0.4211	states/eV per atom
symmetry	P4/mbm
E	-3.97	eV per atom